First-principles (PBE-GGA) data for a relaxed structure of NaTlIF6, as listed in Alexandria via LeMat-Bulk. Values from VASP.

Quantum ESPRESSO input file:
```
&SYSTEM
  ibrav = 0, nat = 9, ntyp = 4
/
ATOMIC_SPECIES
Na 22.99 Na.upf
Tl 204.38 Tl.upf
I 126.90 I.upf
F 19.00 F.upf
CELL_PARAMETERS angstrom
5.436 0.000 0.000
0.079 5.845 0.000
0.205 2.417 5.480
ATOMIC_POSITIONS crystal
Na 0.000 0.000 0.000
Tl 0.548 0.349 0.264
I 0.019 0.597 0.636
F 0.138 0.384 0.992
F 0.176 0.272 0.623
F 0.235 0.726 0.299
F 0.719 0.325 0.808
F 0.807 0.880 0.380
F 0.826 0.752 0.842
```

Values from the calculation:
- Formation energy (no corrections): -1.78 eV/atom
- DFT total energy: -3.606 eV per atom
- Total magnetic moment: 1.00 μB per cell